(1)
CaScIn6 | GGA-PBE | relaxed

a = 4.619 Å, b = 4.619 Å, c = 9.267 Å
α = 90.00°, β = 90.00°, γ = 90.00°
Element x y z (fractional)
Sc 0.000 0.000 0.500
In 0.500 0.000 0.258
In 0.500 0.500 0.500
In 0.500 0.000 0.742
In 0.500 0.500 0.000
In 0.000 0.500 0.742
Ca 0.000 0.000 0.000
In 0.000 0.500 0.258

Results
Its crystal system is tetragonal. Its space-group type is P4/mmm (123). Its energy relative to the elements is -0.316 eV/atom.



(2)
SrSi2Au | GGA-PBE | relaxed

a = 4.275 Å, b = 4.275 Å, c = 6.250 Å
α = 70.40°, β = 70.40°, γ = 59.16°
Element x y z (fractional)
Si 0.712 0.712 0.865
Si 0.002 0.002 0.995
Au 0.286 0.286 0.140
Sr 0.500 0.500 0.500

Results
Its crystal system is monoclinic. Its space-group type is Cm (8). The formation energy without anion corrections comes out at -0.9 eV per formula unit.



(3)
Zr12ZnBi6 | GGA-PBE | relaxed

a = 7.706 Å, b = 7.706 Å, c = 7.706 Å
α = 92.59°, β = 92.59°, γ = 92.59°
Element x y z (fractional)
Zn 0.000 0.000 0.000
Zr 0.532 0.441 0.795
Bi 0.289 0.117 0.727
Bi 0.117 0.727 0.289
Zr 0.795 0.532 0.441
Bi 0.727 0.289 0.117
Zr 0.955 0.861 0.638
Zr 0.861 0.638 0.955
Bi 0.711 0.883 0.273
Zr 0.139 0.362 0.045
Zr 0.362 0.045 0.139
Bi 0.883 0.273 0.711
Zr 0.638 0.955 0.861
Zr 0.045 0.139 0.362
Zr 0.441 0.795 0.532
Zr 0.559 0.205 0.468
Zr 0.468 0.559 0.205
Bi 0.273 0.711 0.883
Zr 0.205 0.468 0.559

Results
Its crystal system is trigonal. Its space-group type is R-3 (148). Its energy relative to the elements is -0.135 eV/atom.



(4)
Sm2MnCo3Ni12 | GGA-PBE | relaxed

a = 9.256 Å, b = 9.256 Å, c = 9.256 Å
α = 37.24°, β = 37.24°, γ = 37.24°
Last column: magnetic moment on the atom in μB.
Element x y z (fractional)
Sm 0.650 0.650 0.650  -0.14
Ni 0.929 0.929 0.354  0.42
Ni 0.583 0.189 0.583  0.59
Ni 0.071 0.071 0.646  0.42
Ni 0.929 0.354 0.929  0.42
Ni 0.417 0.417 0.811  0.59
Co 0.000 0.500 0.000  1.85
Mn 0.000 0.000 0.000  2.79
Ni 0.646 0.071 0.071  0.42
Co 0.500 0.000 0.000  1.85
Co 0.000 0.000 0.500  1.85
Ni 0.189 0.583 0.583  0.59
Ni 0.417 0.811 0.417  0.59
Ni 0.071 0.646 0.071  0.42
Ni 0.583 0.583 0.189  0.59
Ni 0.354 0.929 0.929  0.42
Ni 0.811 0.417 0.417  0.59
Sm 0.350 0.350 0.350  -0.14

Results
Its crystal system is trigonal. Its space-group type is R-3m (166). Its energy relative to the elements is 0.273 eV/atom.



(5)
Mg2TlFeAg | GGA-PBE | relaxed

a = 5.051 Å, b = 5.274 Å, c = 5.051 Å
α = 90.00°, β = 90.00°, γ = 90.00°
Last column: magnetic moment on the atom in μB.
Element x y z (fractional)
Tl 0.000 0.500 0.000  -0.01
Ag 0.000 0.000 0.000  0.01
Mg 0.000 0.000 0.500  0.00
Mg 0.500 0.000 0.000  0.00
Fe 0.500 0.500 0.500  3.21

Results
Its crystal system is tetragonal. Its space-group type is P4/mmm (123). Its energy relative to the elements is 0.802 eV/atom.



(6)
RbScC | GGA-PBE | relaxed

a = 5.403 Å, b = 3.538 Å, c = 11.216 Å
α = 85.61°, β = 92.53°, γ = 109.00°
Element x y z (fractional)
Sc 0.750 0.268 0.026
C 0.053 0.920 0.024
Sc 0.271 0.554 0.918
Rb 0.272 0.473 0.259
Rb 0.792 0.892 0.642
C 0.331 0.056 0.033

Results
Its crystal system is triclinic. Its space-group type is P1 (1). Its energy above the most stable polymorph in this dataset is 174 meV per atom. Its energy relative to the elements is 0.204 eV/atom.



(7)
Sr4TlGa | GGA-PBE | relaxed

a = 4.066 Å, b = 4.066 Å, c = 14.296 Å
α = 90.00°, β = 90.00°, γ = 90.00°
Element x y z (fractional)
Tl 0.000 0.000 0.000
Sr 0.500 0.500 0.138
Sr 0.000 0.000 0.373
Ga 0.500 0.500 0.500
Sr 0.500 0.500 0.862
Sr 0.000 0.000 0.627

Results
Its crystal system is tetragonal. Its space-group type is P4/mmm (123). Its energy above the most stable polymorph in this dataset is 0 meV per atom. Its energy relative to the elements is -0.289 eV/atom.



(8)
Ho3Ag3SbSe8 | GGA-PBE | relaxed

a = 8.235 Å, b = 8.234 Å, c = 8.110 Å
α = 120.62°, β = 90.00°, γ = 120.01°
Element x y z (fractional)
Se 0.756 0.002 0.259
Se 0.756 0.513 0.259
Ho 0.000 0.500 0.500
Ho 0.500 0.500 0.500
Sb 0.000 0.000 0.500
Ag 0.000 0.000 0.000
Se 0.754 0.998 0.741
Se 0.246 0.002 0.259
Se 0.244 0.998 0.741
Se 0.252 0.504 0.258
Se 0.244 0.487 0.741
Ag 0.500 0.500 0.000
Ho 0.500 0.000 0.500
Ag 0.000 0.500 0.000
Se 0.748 0.496 0.742

Results
Its crystal system is monoclinic. Its space-group type is C2/m (12). The formation energy without anion corrections comes out at -14.4 eV per formula unit.